Density functional theory data (PBE) for a relaxed CaMgCo2 crystal.

Results
SG: No. 47
energy of formation from the pure elements: 0.28 eV/atom
density of states at the Fermi level: 0.625 states/eV/atom
density: 4178 kg/m³

Structure (POSCAR):
```
CaMgCo2
1.0
3.361 0.000 0.000
0.000 3.407 0.000
0.000 0.000 6.326
Co Ca Mg
2 1 1
direct
0.000 0.000 0.071 Co
0.000 0.000 0.429 Co
0.500 0.500 0.750 Ca
0.500 0.500 0.250 Mg
```